1.
VASP calculation (PBE) on a geometry-optimized AcDyHo2 structure.

The calculation puts the energy above the lowest structure with this stoichiometry at 0.0 meV/atom. As for the total moment: 0.0 μB/f.u. The crystal system is trigonal. The density of states at the Fermi level is 19.54 states/eV/cell.

The structure belongs to space group R3m (No. 160, hexagonal axes); the cell edges are 3.6888, 3.6888 and 34.9248 Å and the angles 90.00°, 90.00° and 120.00°. Symmetry generates all atoms from Ac at (0.0000, 0.0000, 0.0000), Dy at (0.0000, 0.0000, 0.1660), Ho at (0.0000, 0.0000, 0.4197) and Ho at (0.0000, 0.0000, 0.5796).

---

2.
VASP calculation (PBE) on a geometry-optimized AcDy5Ho3 structure.

The calculation puts the energy above the lowest structure with this stoichiometry at 415.7 meV/atom. As for the total moment: 0.0 μB/f.u. The crystal system is monoclinic. The density of states at the Fermi level is 53.24 states/eV/cell.

The structure belongs to space group C2/m (No. 12); the cell edges are 15.2770, 11.3902 and 10.0287 Å and the angles 90.00°, 129.59° and 90.00°. Symmetry generates all atoms from Ac at (0.2493, 0.0000, 0.4105), Dy at (0.0000, 0.2590, 0.0000), Dy at (0.1387, 0.2517, 0.7540), Dy at (0.2241, 0.0000, 0.0436), Dy at (0.2283, 0.5000, 0.2255), Ho at (0.0000, 0.0000, 0.0000), Ho at (0.0000, 0.5000, 0.5000), Ho at (0.0087, 0.5000, 0.8221) and Ho at (0.0116, 0.0000, 0.3557).

---

3.
VASP calculation (PBE) on a geometry-optimized AcDyHo2 structure.

The calculation puts the energy above the lowest structure with this stoichiometry at 63.5 meV/atom. As for the total moment: 0.0 μB/f.u. The crystal system is tetragonal. The density of states at the Fermi level is 7.36 states/eV/cell.

The structure belongs to space group P4/mmm (No. 123); the cell edges are 4.1251, 4.1251 and 8.1709 Å and the angles 90.00°, 90.00° and 90.00°. Symmetry generates all atoms from Ac at (0.0000, 0.0000, 0.0000), Dy at (0.0000, 0.0000, 0.5000) and Ho at (0.5000, 0.5000, 0.2766).

---

4.
VASP calculation (PBE) on a geometry-optimized AcDyHo2 structure.

The calculation puts the energy above the lowest structure with this stoichiometry at 84.7 meV/atom. As for the total moment: 0.0 μB/f.u. The crystal system is cubic. The density of states at the Fermi level is 26.72 states/eV/cell.

The structure belongs to space group Fm-3m (No. 225); the cell edges are 8.2128, 8.2128 and 8.2128 Å and the angles 90.00°, 90.00° and 90.00°. Symmetry generates all atoms from Ac at (0.0000, 0.0000, 0.0000), Dy at (0.0000, 0.0000, 0.5000) and Ho at (0.2500, 0.2500, 0.2500).

---

5.
VASP calculation (PBE) on a geometry-optimized AcDy4Ho8 structure.

As for the total moment: 0.0 μB/f.u. For the final energy, the calculation gives -4.44 eV/atom. The crystal system is monoclinic. The density of states at the Fermi level is 37.68 states/eV/cell.

The structure belongs to space group C2/m (No. 12); the cell edges are 10.1170, 6.9958 and 12.3696 Å and the angles 90.00°, 104.60° and 90.00°. Symmetry generates all atoms from Ac at (0.0000, 0.0000, 0.0000), Dy at (0.0000, 0.2577, 0.5000), Dy at (0.2163, 0.5000, 0.3556), Ho at (0.0893, 0.2638, 0.7880), Ho at (0.1511, 0.5000, 0.0636) and Ho at (0.1932, 0.0000, 0.3468).

---

6.
VASP calculation (PBE) on a geometry-optimized Ac2Dy7Ho2 structure.

As for the total moment: 0.0 μB/f.u. For the final energy, the calculation gives -4.32 eV/atom. The crystal system is monoclinic. The density of states at the Fermi level is 34.81 states/eV/cell.

The structure belongs to space group C2/m (No. 12); the cell edges are 11.5841, 11.5668 and 6.2011 Å and the angles 90.00°, 114.30° and 90.00°. Symmetry generates all atoms from Ac at (0.0000, 0.2124, 0.0000), Dy at (0.0000, 0.0000, 0.5000), Dy at (0.0976, 0.5000, 0.3197), Dy at (0.1717, 0.2328, 0.6611) and Ho at (0.2483, 0.5000, 0.9230).

---

7.
VASP calculation (PBE) on a geometry-optimized AcDy4Ho10 structure.

As for the total moment: 0.0 μB/f.u. For the final energy, the calculation gives -4.02 eV/atom. The crystal system is tetragonal. The density of states at the Fermi level is 60.19 states/eV/cell.

The structure belongs to space group I4/m (No. 87); the cell edges are 12.7558, 12.7558 and 6.5800 Å and the angles 90.00°, 90.00° and 90.00°. Symmetry generates all atoms from Ac at (0.0000, 0.0000, 0.0000), Dy at (0.0674, 0.1779, 0.5000), Ho at (0.0000, 0.5000, 0.2500) and Ho at (0.1293, 0.7087, 0.2498).

---

8.
VASP calculation (PBE) on a geometry-optimized Ac5Dy12Ho3 structure.

As for the total moment: 0.0 μB/f.u. For the final energy, the calculation gives -3.47 eV/atom. The crystal system is cubic. The density of states at the Fermi level is 332.48 states/eV/cell.

The structure belongs to space group Ia-3d (No. 230); the cell edges are 19.3903, 19.3903 and 19.3903 Å and the angles 90.00°, 90.00° and 90.00°. Symmetry generates all atoms from Ac at (0.0000, 0.0000, 0.0000), Ac at (0.0000, 0.2500, 0.3750), Dy at (0.0010, 0.0864, 0.1471) and Ho at (0.0000, 0.2500, 0.1250).